Compound: Hf5In2Ga2
Source: Alexandria
Functional: PBE
Structure: relaxed

abc: 7.3158 7.2571 8.0599
angles: 90.00 63.01 90.00
Closest atoms and distances in Å follow each position.
Atoms (fractional coordinates):
Hf: 0.6947 0.3193 0.2476  3 Ga 2.69-2.88, 3 In 2.92-3.01
Hf: 0.4424 0.1807 0.7524  3 Ga 2.69-2.88, 3 In 2.92-3.01
Hf: 0.9424 0.3193 0.7524  3 Ga 2.69-2.88, 3 In 2.92-3.01
Hf: 0.0000 0.0000 0.0000  4 Ga 2.88-2.90, 2 In 3.15, 8 Hf 3.21
Hf: 0.5000 0.5000 0.0000  4 Ga 2.88-2.90, 2 In 3.15, 8 Hf 3.21
Hf: 0.1947 0.1807 0.2476  3 Ga 2.69-2.88, 3 In 2.92-3.01
Hf: 0.8053 0.8193 0.7524  3 Ga 2.69-2.88, 3 In 2.92-3.01
Hf: 0.5576 0.8193 0.2476  3 Ga 2.69-2.88, 3 In 2.92-3.01
Hf: 0.3053 0.6807 0.7524  3 Ga 2.69-2.88, 3 In 2.92-3.01
Hf: 0.0576 0.6807 0.2476  3 Ga 2.69-2.88, 3 In 2.92-3.01
In: 0.7804 0.0000 0.4392  7 Hf 2.92-3.15
In: 0.7196 0.5000 0.5608  7 Hf 2.92-3.15
In: 0.2804 0.5000 0.4392  7 Hf 2.92-3.15
In: 0.2196 0.0000 0.5608  7 Hf 2.92-3.15
Ga: 0.6224 0.1234 0.0000  1 Ga 2.53, 2 Hf 2.69
Ga: 0.1224 0.3766 0.0000  1 Ga 2.53, 2 Hf 2.69
Ga: 0.8776 0.6234 0.0000  1 Ga 2.53, 2 Hf 2.69
Ga: 0.3776 0.8766 0.0000  1 Ga 2.53, 2 Hf 2.69

Summary:
For the total energy, the calculation gives -7.047 eV/atom. The value obtained for the theoretical density is 11.0 g cm⁻³. Its density of states at the Fermi level is 14.42 states/eV per cell. The total magnetic moment is 0.00 μB/f.u.